DFT (PBE-GGA) results for SnPtPb after structural relaxation.

Geometry as POSCAR:
```
SnPtPb
1.0
6.685 0.000 0.000
0.000 6.685 0.000
0.000 0.000 6.685
Sn Pt Pb
4 4 4
direct
0.000 0.000 0.000
0.000 0.500 0.500
0.500 0.000 0.500
0.500 0.500 0.000
0.250 0.250 0.750
0.250 0.750 0.250
0.750 0.250 0.250
0.750 0.750 0.750
0.000 0.000 0.500
0.000 0.500 0.000
0.500 0.000 0.000
0.500 0.500 0.500
```

Results
Symmetry   F-43m (216)
Total magnetization   0.000 μB per atom
Distance to the lowest polymorph of the same formula   0 meV per atom

DFT (PBE-GGA) results for LaErAl4Ni2 after structural relaxation.

Geometry as POSCAR:
```
LaErAl4Ni2
1.0
6.966 0.000 0.000
0.000 4.072 0.000
0.000 0.000 10.454
La Er Al Ni
2 2 8 4
direct
0.000 0.000 0.000
0.000 0.500 0.500
0.500 0.000 0.887
0.500 0.500 0.387
0.201 0.000 0.281
0.201 0.500 0.781
0.311 0.000 0.608
0.311 0.500 0.108
0.689 0.000 0.608
0.689 0.500 0.108
0.799 0.000 0.281
0.799 0.500 0.781
0.000 0.000 0.724
0.000 0.500 0.224
0.500 0.000 0.159
0.500 0.500 0.659
```

Results
Symmetry   Amm2 (38)
Total magnetization   0.000 μB per atom
Raw total energy   -40.35 eV per formula unit

DFT (PBE-GGA) results for PuNiGe after structural relaxation.

Geometry as POSCAR:
```
PuNiGe
1.0
6.027 0.000 0.000
0.000 6.027 0.000
0.000 0.000 6.027
Pu Ni Ge
4 4 4
direct
0.000 0.000 0.000
0.000 0.500 0.500
0.500 0.000 0.500
0.500 0.500 0.000
0.250 0.250 0.750
0.250 0.750 0.250
0.750 0.250 0.250
0.750 0.750 0.750
0.000 0.000 0.500
0.000 0.500 0.000
0.500 0.000 0.000
0.500 0.500 0.500
```

Results
Symmetry   F-43m (216)
Total magnetization   1.363 μB per atom
Raw total energy   -25.31 eV per formula unit

DFT (PBE-GGA) results for CdBrN after structural relaxation.

Geometry as POSCAR:
```
CdBrN
1.0
7.993 0.000 0.000
-3.997 6.922 0.000
0.000 0.000 3.116
Cd Br N
3 3 3
direct
0.000 0.658 0.000
0.342 0.342 0.000
0.658 0.000 0.000
0.000 0.000 0.000
0.333 0.667 0.500
0.667 0.333 0.500
0.000 0.203 0.500
0.203 0.000 0.500
0.797 0.797 0.500
```

Results
Symmetry   P-62m (189)
Raw total energy   -6.56 eV per formula unit